Crystalline BaEuCo4O12 at its relaxed geometry. Source: Alexandria via LeMat-Bulk, functional PBE+U.

Properties
The value obtained for the size of the total moment is 9.95 μB per formula unit. Its crystal system is tetragonal. Its total energy is -6.015 eV/atom.

Cell: 5.4045 5.4045 7.5549 Å, 90.00 90.00 90.00°
Last column: nearest neighbours and their distance in Å.
Space group P4/mmm (No. 123)
One atom of each set of equivalent atoms:
Ba1 0.0000 0.0000 0.0000  12 O 2.70-2.81
Eu1 0.5000 0.5000 0.5000  12 O 2.56-2.70
Co1 0.0000 0.5000 0.2506  6 O 1.88-1.91
O1 0.0000 0.5000 0.0000  2 Co 1.89
O2 0.0000 0.5000 0.5000  2 Co 1.88
O3 0.2593 0.2593 0.2639  2 Co 1.91